This record from the Alexandria database describes a relaxed SrPdBr2 crystal. The functional is PBE-GGA.

Calculated values
SG: R-3m
formation energy from raw total energies: -0.466 eV per atom
calculated total energy: -0.1110 Ha/atom
M_tot: 0.18 μB per atom

Cell: 4.376 4.376 25.115 Å, 90.00 90.00 120.00°
Atoms (fractional coordinates):
Sr (0.000, 0.000, 0.000)
Sr (0.333, 0.667, 0.667)
Sr (0.667, 0.333, 0.333)
Pd (0.000, 0.000, 0.500)
Pd (0.333, 0.667, 0.167)
Pd (0.667, 0.333, 0.833)
Br (0.000, 0.000, 0.116)
Br (0.000, 0.000, 0.884)
Br (0.333, 0.667, 0.551)
Br (0.333, 0.667, 0.782)
Br (0.667, 0.333, 0.218)
Br (0.667, 0.333, 0.449)